No. 1
! PBE CsAsOs, relaxed; values from VASP
&SYSTEM
  ibrav = 0, nat = 3, ntyp = 3
/
ATOMIC_SPECIES
As 74.92 As.upf
Cs 132.91 Cs.upf
Os 190.23 Os.upf
CELL_PARAMETERS angstrom
0.000 3.346 3.346
3.346 0.000 3.346
3.346 3.346 0.000
ATOMIC_POSITIONS crystal
As 0.250 0.250 0.250
Cs 0.750 0.750 0.750
Os 0.000 0.000 0.000
! - Space group: F-43m, No. 216

***

No. 2
! PBE Cs2Pr2AsP, relaxed; values from VASP
&SYSTEM
  ibrav = 0, nat = 6, ntyp = 4
/
ATOMIC_SPECIES
As 74.92 As.upf
Cs 132.91 Cs.upf
P 30.97 P.upf
Pr 140.91 Pr.upf
CELL_PARAMETERS angstrom
5.289 0.000 0.000
0.000 5.289 0.000
0.000 0.000 8.393
ATOMIC_POSITIONS crystal
As 0.500 0.500 0.671
Cs 0.500 0.500 0.120
Cs 0.000 0.000 0.878
P 0.000 0.000 0.341
Pr 0.500 0.000 0.495
Pr 0.000 0.500 0.495
! - Space group: P4mm, No. 99

***

No. 3
! PBE CsAsPPt2, relaxed; values from VASP
&SYSTEM
  ibrav = 0, nat = 5, ntyp = 4
/
ATOMIC_SPECIES
As 74.92 As.upf
Cs 132.91 Cs.upf
P 30.97 P.upf
Pt 195.08 Pt.upf
CELL_PARAMETERS angstrom
-4.278 1.048 -0.430
0.385 -3.124 -3.111
0.034 -3.871 6.083
ATOMIC_POSITIONS crystal
As 0.627 0.627 0.344
Cs 0.996 0.996 0.997
P 0.367 0.367 0.636
Pt 0.798 0.212 0.511
Pt 0.212 0.798 0.511
! - Space group: Cm, No. 8

***

No. 4
! PBE Cs4AsPPt2, relaxed; values from VASP
&SYSTEM
  ibrav = 0, nat = 8, ntyp = 4
/
ATOMIC_SPECIES
As 74.92 As.upf
Cs 132.91 Cs.upf
P 30.97 P.upf
Pt 195.08 Pt.upf
CELL_PARAMETERS angstrom
-5.794 -1.422 0.998
0.119 -4.268 -5.391
1.848 -3.649 5.529
ATOMIC_POSITIONS crystal
As 0.000 0.235 0.235
Cs 0.500 0.518 0.175
Cs 0.000 0.823 0.485
Cs 0.500 0.175 0.518
Cs 0.000 0.485 0.823
P 0.500 0.779 0.779
Pt 0.248 0.992 0.992
Pt 0.752 0.992 0.992
! - Space group: Amm2, No. 38

***

No. 5
! PBE Cs2Tm2AsP, relaxed; values from VASP
&SYSTEM
  ibrav = 0, nat = 6, ntyp = 4
/
ATOMIC_SPECIES
As 74.92 As.upf
Cs 132.91 Cs.upf
P 30.97 P.upf
Tm 168.93 Tm.upf
CELL_PARAMETERS angstrom
4.819 0.000 0.000
0.000 4.819 0.000
0.000 0.000 11.753
ATOMIC_POSITIONS crystal
As 0.500 0.500 0.626
Cs 0.500 0.500 0.184
Cs 0.000 0.000 0.810
P 0.000 0.000 0.388
Tm 0.500 0.000 0.496
Tm 0.000 0.500 0.496
! - Space group: P4mm, No. 99

***

No. 6
! PBE CsAsPd, relaxed; values from VASP
&SYSTEM
  ibrav = 0, nat = 3, ntyp = 3
/
ATOMIC_SPECIES
As 74.92 As.upf
Cs 132.91 Cs.upf
Pd 106.42 Pd.upf
CELL_PARAMETERS angstrom
2.512 1.450 4.102
-2.512 1.450 4.102
0.000 -2.901 4.102
ATOMIC_POSITIONS crystal
As 0.750 0.750 0.750
Cs 0.250 0.250 0.250
Pd 0.000 0.000 0.000
! - Space group: F-43m, No. 216

***

No. 7
! PBE CsAsPd, relaxed; values from VASP
&SYSTEM
  ibrav = 0, nat = 3, ntyp = 3
/
ATOMIC_SPECIES
As 74.92 As.upf
Cs 132.91 Cs.upf
Pd 106.42 Pd.upf
CELL_PARAMETERS angstrom
-1.886 3.025 3.866
-2.965 4.189 -1.148
-5.143 -0.039 1.098
ATOMIC_POSITIONS crystal
As 0.250 0.250 0.250
Cs 0.000 0.000 0.000
Pd 0.750 0.750 0.750
! - Space group: F-43m, No. 216

***

No. 8
! PBE CsRb2As2Pd3, relaxed; values from VASP
&SYSTEM
  ibrav = 0, nat = 8, ntyp = 4
/
ATOMIC_SPECIES
As 74.92 As.upf
Cs 132.91 Cs.upf
Pd 106.42 Pd.upf
Rb 85.47 Rb.upf
CELL_PARAMETERS angstrom
-2.968 -6.100 4.439
2.891 -6.719 3.497
0.918 -2.811 7.549
ATOMIC_POSITIONS crystal
As 0.253 0.253 0.253
As 0.747 0.747 0.747
Cs 0.500 0.500 0.500
Pd 0.500 0.500 0.000
Pd 0.500 0.000 0.500
Pd 0.000 0.500 0.500
Rb 0.086 0.086 0.086
Rb 0.914 0.914 0.914
! - Space group: R-3m, No. 166

***

| no. | total energy (eV/atom) |
| --- | --- |
| 1 | -4.15 |
| 2 | -4.23 |
| 3 | -5.15 |
| 4 | -3.59 |
| 5 | -4.19 |
| 6 | -3.10 |
| 7 | -2.46 |
| 8 | -3.83 |